Record 1
Below is Pm6Nd2Dy3Mg after structural relaxation, with properties calculated at the PBE level.

```
Pm6Nd2Dy3Mg
1.0
6.2353 -0.0023 -0.0044
-3.1182 5.3997 -0.0044
-1.0340 -1.7904 11.7033
Pm Dy Nd Mg
6 3 2 1
Direct
0.9167 0.5859 0.7482
0.7523 0.7523 0.2528
0.0833 0.4141 0.2518
0.5859 0.9167 0.7482
0.2477 0.2477 0.7472
0.4141 0.0833 0.2518
0.8340 0.1660 0.5000
0.1660 0.8340 0.5000
0.5000 0.5000 0.5000
0.3329 0.6671 0.0000
0.6671 0.3329 0.0000
0.0000 0.0000 0.0000
```

Crystal system   monoclinic
ΔE_f   0.01 eV per atom
Total magnetic moment   0.000 Bohr magnetons per cell

***

Record 2
Below is BaCr4 after structural relaxation, with properties calculated at the PBE level.

```
BaCr4
1.0
-1.1309 -0.0625 5.9130
-4.6220 2.5438 -2.9004
0.7389 -5.6438 -1.9617
Cr Ba
4 1
Direct
0.0000 0.0000 0.5000
0.0000 0.5000 0.0000
0.5000 0.0000 0.0000
0.5000 0.5000 0.5000
0.0000 0.0000 0.0000
```

Crystal system   cubic
ΔE_f   2.34 eV per atom
Total magnetic moment   18.979 Bohr magnetons per cell

***

Record 3
Below is CeDy4Tm10 after structural relaxation, with properties calculated at the PBE level.

```
CeDy4Tm10
1.0
-7.6345 -6.8537 2.0637
0.8026 -8.4611 1.4037
-3.0680 -2.2445 7.7300
Tm Dy Ce
10 4 1
Direct
0.6194 0.0882 0.3374
0.9567 0.6626 0.0882
0.7075 0.3374 0.9118
0.2500 0.5000 0.5000
0.7500 0.5000 0.5000
0.9551 0.0882 0.3374
0.2925 0.6626 0.0882
0.0433 0.3374 0.9118
0.0449 0.9118 0.6626
0.3806 0.9118 0.6626
0.2197 0.2310 0.3296
0.5493 0.6704 0.2310
0.7803 0.7690 0.6704
0.4507 0.3296 0.7690
0.0000 0.0000 0.0000
```

Crystal system   tetragonal
ΔE_f   0.48 eV per atom
Total magnetic moment   1.130 Bohr magnetons per cell

***

Record 4
Below is HoErTl4 after structural relaxation, with properties calculated at the PBE level.

```
HoErTl4
1.0
-0.9825 2.9479 3.9605
2.3423 -3.5565 2.6843
6.5654 3.5530 -1.0047
Tl Ho Er
4 1 1
Direct
0.0016 0.4970 0.7493
0.5018 0.9968 0.2469
0.5010 0.9975 0.7493
0.0008 0.4978 0.2469
0.0014 0.9975 0.4982
0.5012 0.4972 0.9982
```

Crystal system   monoclinic
ΔE_f   0.01 eV per atom
Total magnetic moment   0.000 Bohr magnetons per cell

***

Record 5
Below is LaTlSn3 after structural relaxation, with properties calculated at the PBE level.

```
LaTlSn3
1.0
-0.1270 -1.0100 5.5354
-3.7018 -4.1548 -0.8430
4.2376 -3.6598 -0.5705
Sn La Tl
3 1 1
Direct
0.5000 0.0000 0.0000
0.0000 0.0000 0.5000
0.0000 0.5000 0.0000
0.5000 0.5000 0.5000
0.0000 0.0000 0.0000
```

Crystal system   cubic
ΔE_f   0.33 eV per atom
Total magnetic moment   0.000 Bohr magnetons per cell

***

Record 6
Below is KPu3F9 after structural relaxation, with properties calculated at the PBE level.

```
KPu3F9
1.0
-0.8075 -1.7531 4.2031
-2.3697 -7.6661 -3.6528
8.4173 1.4158 2.2076
F Pu K
9 3 1
Direct
0.0000 0.0000 0.5000
0.5000 0.3969 0.1984
0.5000 0.8016 0.1984
0.5000 0.1984 0.8016
0.5000 0.1984 0.3969
0.5000 0.6031 0.8016
0.0000 0.5000 0.0000
0.5000 0.8016 0.6031
0.0000 0.5000 0.5000
0.5000 0.0000 0.5000
0.5000 0.5000 0.0000
0.5000 0.5000 0.5000
0.0000 0.0000 0.0000
```

Crystal system   hexagonal
Total magnetic moment   15.905 Bohr magnetons per cell
Uncorrected formation energy   -321.0 kJ/mol of atoms

***

Record 7
Below is Dy2Ga4PdRh3 after structural relaxation, with properties calculated at the PBE level.

```
Dy2Ga4PdRh3
1.0
-2.4233 1.1084 3.2403
0.8951 -3.6265 1.9099
8.1455 4.4220 4.5792
Rh Ga Pd Dy
3 4 1 2
Direct
0.0000 0.5000 0.1335
0.0000 0.0000 0.5000
0.5000 0.0000 0.8665
0.0000 0.5000 0.3684
0.5000 0.0000 0.6316
0.5000 0.5000 0.0000
0.0000 0.0000 0.0000
0.5000 0.5000 0.5000
0.5000 0.0000 0.2524
0.0000 0.5000 0.7476
```

Crystal system   tetragonal
ΔE_f   -0.79 eV per atom
Total magnetic moment   0.000 Bohr magnetons per cell

***

Record 8
Below is AcGaGe3 after structural relaxation, with properties calculated at the PBE level.

```
AcGaGe3
1.0
4.6681 0.0000 0.0000
0.0000 4.7634 0.0000
0.0000 -2.3817 10.8613
Ga Ge Ac
2 6 2
Direct
0.0000 0.6086 0.2172
0.0000 0.3914 0.7828
0.0000 0.0574 0.1148
0.0000 0.7246 0.4493
0.5000 0.4427 0.8854
0.0000 0.9426 0.8852
0.0000 0.2754 0.5507
0.5000 0.5573 0.1146
0.5000 0.1669 0.3338
0.5000 0.8331 0.6662
```

Crystal system   orthorhombic
ΔE_f   -0.29 eV per atom
Total magnetic moment   0.000 Bohr magnetons per cell